Entry 1:
5
Lattice="-2.052 2.052 6.552 2.052 -2.052 6.552 2.052 2.052 -6.552" Properties=species:S:1:pos:R:3 comment="Pr2TeO2 (PBE, relaxed)" space_group="I4/mmm (139)" total_energy_ev_per_atom=-7.38 pbc="T T T"
Pr 0.000 0.000 2.092
Pr 0.000 0.000 11.011
Te 0.000 0.000 6.552
O 2.052 0.000 3.276
O 0.000 2.052 3.276

Entry 2:
11
Lattice="6.688 -5.932 0.000 6.688 5.932 0.000 -0.817 0.000 7.020" Properties=species:S:1:pos:R:3 comment="LiGe2I8 (PBE, relaxed)" space_group="C2/m (12)" total_energy_ev_per_atom=-2.53 pbc="T T T"
Li 0.000 0.000 0.000
Ge 2.190 0.000 4.810
Ge 10.369 0.000 2.210
I 5.147 3.886 1.415
I 2.489 0.000 2.215
I 7.412 3.886 5.605
I 4.534 0.000 6.011
I 8.025 0.000 1.008
I 5.147 -3.886 1.415
I 10.070 0.000 4.805
I 7.412 -3.886 5.605

Entry 3:
4
Lattice="1.678 0.969 8.360 -1.678 0.969 8.360 0.000 -1.937 8.360" Properties=species:S:1:pos:R:3 comment="TiGaS2 (PBE, relaxed)" space_group="R-3m (166)" total_energy_ev_per_atom=-5.72 pbc="T T T"
Ti 0.000 0.000 0.000
Ga 0.000 0.000 12.539
S 0.000 0.000 9.817
S 0.000 0.000 15.262

Entry 4:
12
Lattice="5.613 0.000 0.000 -2.806 4.861 0.000 0.000 0.000 9.058" Properties=species:S:1:pos:R:3 comment="Ce3HoAl8 (PBE, relaxed)" space_group="P3m1 (156)" relative_energy_mev_per_atom=7 formation_enthalpy_0k_mev_per_atom=-459.5 pbc="T T T"
Ce 0.000 0.000 0.000
Ce 0.000 0.000 2.986
Ce 0.000 3.240 7.684
Ho 0.000 3.240 4.395
Al -1.362 2.454 1.506
Al 1.363 0.787 6.001
Al 1.362 2.454 1.506
Al 0.000 4.813 1.506
Al 2.806 1.620 3.746
Al 2.806 1.620 8.270
Al 4.250 0.787 6.001
Al 2.806 3.287 6.001

Entry 5:
4
Lattice="2.725 0.000 0.000 0.000 4.712 0.000 0.000 0.000 5.426" Properties=species:S:1:pos:R:3 comment="Ta2MoW (PBE, relaxed)" space_group="Pmm2 (25)" formation_enthalpy_0k_mev_per_atom=196.0 pbc="T T T"
Ta 0.000 0.000 0.000
Ta 1.363 2.356 1.388
Mo 1.363 2.356 4.094
W 0.000 0.000 2.706

Entry 6:
8
Lattice="3.741 0.000 0.000 0.000 3.741 0.000 0.000 0.000 15.110" Properties=species:S:1:pos:R:3 comment="Y3Mg4Sc (PBE, relaxed)" space_group="P4/mmm (123)" formation_enthalpy_0k_mev_per_atom=-87.5 pbc="T T T"
Y 0.000 0.000 0.000
Y 0.000 0.000 3.885
Y 0.000 0.000 11.225
Mg 1.871 1.871 1.939
Mg 1.871 1.871 5.858
Mg 1.871 1.871 9.252
Mg 1.871 1.871 13.171
Sc 0.000 0.000 7.555

Entry 7:
9
Lattice="-3.218 3.218 1.988 3.218 -3.218 1.988 3.218 3.218 -1.988" Properties=species:S:1:pos:R:3 comment="BH4Rh4 (PBE, relaxed)" space_group="I4/m (87)" total_energy_ev_per_atom=-5.47 pbc="T T T"
B 0.000 0.000 0.000
H 2.393 1.301 0.000
H 1.917 -0.825 1.988
H 1.301 4.043 0.000
H 0.825 1.917 1.988
Rh 4.503 0.629 0.000
Rh 0.629 1.933 0.000
Rh 2.589 1.285 1.988
Rh -1.285 2.589 1.988

Entry 8:
16
Lattice="2.125 -4.955 0.000 2.125 4.955 0.000 0.000 0.000 9.970" Properties=species:S:1:pos:R:3 comment="Li2PdF5 (PBE, relaxed)" space_group="Cmcm (63)" total_energy_ev_per_atom=-4.41 pbc="T T T"
Li 2.125 3.758 5.801
Li 2.125 3.758 9.154
Li 2.125 -3.758 0.816
Li 2.125 -3.758 4.169
Pd 2.125 2.849 2.493
Pd 2.125 -2.849 7.478
F 2.125 4.231 1.068
F 2.125 4.231 3.917
F 2.125 2.407 7.478
F 2.125 1.512 1.031
F 2.125 1.512 3.954
F 2.125 -1.512 6.016
F 2.125 -1.512 8.939
F 2.125 -2.407 2.493
F 2.125 -4.231 6.053
F 2.125 -4.231 8.902

Entry 9:
5
Lattice="5.732 0.000 0.000 0.000 5.732 0.000 0.000 0.000 3.444" Properties=species:S:1:pos:R:3 comment="AgHPb2Au (PBE, relaxed)" space_group="P4/mmm (123)" total_energy_ev_per_atom=-3.18 pbc="T T T"
Ag 0.000 0.000 0.000
H 2.866 2.866 0.000
Pb 0.000 2.866 1.722
Pb 2.866 0.000 1.722
Au 2.866 2.866 1.722

Entry 10:
7
Lattice="-2.764 2.764 9.742 2.764 -2.764 9.742 2.764 2.764 -9.742" Properties=species:S:1:pos:R:3 comment="Ca4Eu2Ir (PBE, relaxed)" space_group="I4/mmm (139)" formation_enthalpy_0k_mev_per_atom=3.6 pbc="T T T"
Ca 2.764 0.000 0.000
Ca 0.000 0.000 2.709
Ca 0.000 2.764 0.000
Ca 0.000 0.000 16.774
Eu 0.000 0.000 6.476
Eu 0.000 0.000 13.007
Ir 0.000 0.000 0.000

Entry 11:
4
Lattice="1.710 -2.183 0.000 1.710 2.183 0.000 0.000 0.000 8.099" Properties=species:S:1:pos:R:3 comment="Ta2MnCu (PBE, relaxed)" space_group="Cmmm (65)" formation_enthalpy_0k_mev_per_atom=123.7 pbc="T T T"
Ta 0.000 0.000 1.951
Ta 0.000 0.000 6.148
Mn 1.710 0.000 0.000
Cu 1.710 0.000 4.049

Entry 12:
5
Lattice="5.954 0.000 0.000 0.000 5.954 0.000 0.000 0.000 4.329" Properties=species:S:1:pos:R:3 comment="TlCdBr2F (PBE, relaxed)" space_group="P4/mmm (123)" relative_energy_mev_per_atom=865 pbc="T T T"
Tl 0.000 0.000 0.000
Cd 2.977 2.977 0.000
Br 0.000 2.977 2.165
Br 2.977 0.000 2.165
F 0.000 0.000 2.165

Q: Which N(E_F) values were calculated for the entries above? A: 0.00 4.64 2.63 15.17 3.84 11.63 9.39 2.85 3.38 5.56 3.95 3.81, in states/eV per cell.